No. 1
CaTaH after structural relaxation. Source: the Alexandria database, functional GGA-PBE.

Summary:
The calculation puts the density of states at the Fermi level at 0.665 states/eV per atom. Its distance to the lowest polymorph of the same formula is 200 meV per atom.

a b c (Å): 3.484 3.857 8.486
angles (deg): 90.00 90.00 90.00
Fractional coordinates of all 6 atoms:
Ca: 0.000 0.000 0.000
Ca: 0.500 0.500 0.338
Ta: 0.000 0.000 0.611
Ta: 0.500 0.500 0.722
H: 0.500 0.000 0.175
H: 0.500 0.000 0.746

No. 2
MnPtAu2 after structural relaxation. Source: the Alexandria database, functional GGA-PBE.

Summary:
The formation energy comes out at -0.31 eV per formula unit. The calculation puts the density of states at the Fermi level at 0.429 states/eV per atom.

a b c (Å): 9.520 3.024 4.754
angles (deg): 90.00 103.19 90.00
Fractional coordinates of all 8 atoms:
Mn: 0.000 0.000 0.000
Mn: 0.500 0.500 0.000
Pt: 0.000 0.500 0.500
Pt: 0.500 0.000 0.500
Au: 0.246 0.500 0.246
Au: 0.254 0.000 0.754
Au: 0.746 0.000 0.246
Au: 0.754 0.500 0.754

No. 3
AcDyCl2 after structural relaxation. Source: the Alexandria database, functional GGA-PBE.

Summary:
The calculation puts the density of states at the Fermi level at 0.957 states/eV per atom. The calculation puts the formation energy without anion corrections at -1.2370 eV/atom.

a b c (Å): 3.657 3.657 30.009
angles (deg): 90.00 90.00 120.00
Fractional coordinates of all 12 atoms:
Ac: 0.000 0.000 0.000
Ac: 0.333 0.667 0.667
Ac: 0.667 0.333 0.333
Dy: 0.000 0.000 0.500
Dy: 0.333 0.667 0.167
Dy: 0.667 0.333 0.833
Cl: 0.000 0.000 0.103
Cl: 0.000 0.000 0.897
Cl: 0.333 0.667 0.563
Cl: 0.333 0.667 0.770
Cl: 0.667 0.333 0.230
Cl: 0.667 0.333 0.437

No. 4
NdZrAgHg after structural relaxation. Source: the Alexandria database, functional GGA-PBE.

Summary:
The formation energy comes out at -0.50 eV per formula unit. The calculation puts the density of states at the Fermi level at 0.960 states/eV per atom.

a b c (Å): 7.298 7.298 7.298
angles (deg): 90.00 90.00 90.00
Fractional coordinates of all 16 atoms:
Nd: 0.000 0.000 0.000
Nd: 0.000 0.500 0.500
Nd: 0.500 0.000 0.500
Nd: 0.500 0.500 0.000
Zr: 0.000 0.000 0.500
Zr: 0.000 0.500 0.000
Zr: 0.500 0.000 0.000
Zr: 0.500 0.500 0.500
Ag: 0.250 0.250 0.750
Ag: 0.250 0.750 0.250
Ag: 0.750 0.250 0.250
Ag: 0.750 0.750 0.750
Hg: 0.250 0.250 0.250
Hg: 0.250 0.750 0.750
Hg: 0.750 0.250 0.750
Hg: 0.750 0.750 0.250

No. 5
Os5W after structural relaxation. Source: the Alexandria database, functional GGA-PBE.

Summary:
The formation energy comes out at 4.10 eV per formula unit. The calculation puts the density of states at the Fermi level at 1.687 states/eV per atom. Its distance to the lowest polymorph of the same formula is 713 meV per atom.

a b c (Å): 5.081 5.081 5.081
angles (deg): 60.00 60.00 60.00
Fractional coordinates of all 6 atoms:
Os: 0.000 0.000 0.000
Os: 0.375 0.375 0.375
Os: 0.375 0.375 0.876
Os: 0.375 0.876 0.375
Os: 0.876 0.375 0.375
W: 0.750 0.750 0.750

No. 6
PrSn5Ir3 after structural relaxation. Source: the Alexandria database, functional GGA-PBE.

Summary:
The formation energy comes out at -2.49 eV per formula unit. The calculation puts the density of states at the Fermi level at 0.386 states/eV per atom.

a b c (Å): 7.546 7.546 9.752
angles (deg): 111.03 111.03 71.80
Fractional coordinates of all 18 atoms:
Pr: 0.116 0.116 0.310
Pr: 0.884 0.884 0.690
Sn: 0.052 0.639 0.324
Sn: 0.235 0.235 0.041
Sn: 0.301 0.699 0.000
Sn: 0.361 0.948 0.676
Sn: 0.416 0.416 0.642
Sn: 0.584 0.584 0.358
Sn: 0.639 0.052 0.324
Sn: 0.699 0.301 0.000
Sn: 0.765 0.765 0.959
Sn: 0.948 0.361 0.676
Ir: 0.000 0.000 0.000
Ir: 0.000 0.000 0.500
Ir: 0.324 0.324 0.838
Ir: 0.366 0.366 0.348
Ir: 0.634 0.634 0.652
Ir: 0.676 0.676 0.162

No. 7
Li3Tl2Cd after structural relaxation. Source: the Alexandria database, functional GGA-PBE.

Summary:
The formation energy comes out at -1.39 eV per formula unit. The calculation puts the density of states at the Fermi level at 0.402 states/eV per atom.

a b c (Å): 4.835 4.835 11.836
angles (deg): 90.00 90.00 120.00
Fractional coordinates of all 12 atoms:
Li: 0.000 0.000 0.249
Li: 0.000 0.000 0.751
Li: 0.333 0.667 0.417
Li: 0.333 0.667 0.919
Li: 0.667 0.333 0.081
Li: 0.667 0.333 0.583
Tl: 0.000 0.000 0.000
Tl: 0.000 0.000 0.500
Tl: 0.333 0.667 0.673
Tl: 0.667 0.333 0.327
Cd: 0.333 0.667 0.165
Cd: 0.667 0.333 0.835

No. 8
Cs2RbWSe4 after structural relaxation. Source: the Alexandria database, functional GGA-PBE.

Summary:
The calculation puts the density of states at the Fermi level at 0.622 states/eV per atom. The calculation puts the formation energy without anion corrections at -0.8257 eV/atom.

a b c (Å): 8.823 8.823 9.072
angles (deg): 90.00 90.00 90.00
Fractional coordinates of all 16 atoms:
Cs: 0.000 0.000 0.000
Cs: 0.000 0.500 0.250
Cs: 0.500 0.000 0.750
Cs: 0.500 0.500 0.500
Rb: 0.000 0.000 0.500
Rb: 0.500 0.500 0.000
W: 0.000 0.500 0.750
W: 0.500 0.000 0.250
Se: 0.151 0.334 0.603
Se: 0.166 0.651 0.897
Se: 0.334 0.849 0.397
Se: 0.349 0.166 0.103
Se: 0.651 0.834 0.103
Se: 0.666 0.151 0.397
Se: 0.834 0.349 0.897
Se: 0.849 0.666 0.603